Density functional theory data (GGA+U) for NiPSeO2 after structural relaxation.

Summary:
M_tot ... 2.1 Bohr magnetons per cell
VASP energy ... -3.96 eV per atom
Offset from the most stable computed form ... 35 meV/atom
Fermi-level density of states ... 3.1 states/eV per cell

abc: 3.668 3.668 4.921
angles: 90.00 90.00 90.00
Space group P4/mmm (No. 123)
Inequivalent atoms, fractional coordinates:
Ni1 0.000 0.000 0.000 (multiplicity 1)
P1 0.000 0.000 0.500 (multiplicity 1)
Se1 0.500 0.500 0.500 (multiplicity 1)
O1 0.000 0.500 0.000 (multiplicity 2)